No. 1
A plane-wave DFT calculation with GGA-PBE was carried out for a relaxed structure of Hf2ZnSe.

```
data_Hf2ZnSe
_space_group_name_H-M_alt 'R 3 m'
_space_group_IT_number 160
_space_group_name_Hall 'R 3 -2"'
_cell_length_a 3.4372
_cell_length_b 3.4372
_cell_length_c 23.4204
_cell_angle_alpha 90.00
_cell_angle_beta 90.00
_cell_angle_gamma 120.00
loop_
_atom_site_label
_atom_site_type_symbol
_atom_site_fract_x
_atom_site_fract_y
_atom_site_fract_z
Hf1 Hf 0.0000 0.0000 0.0000
Hf2 Hf 0.0000 0.0000 0.1729
Zn1 Zn 0.0000 0.0000 0.4193
Se1 Se 0.0000 0.0000 0.5870
```

As for the formation energy from raw total energies: -0.38 eV/atom. For the density, the calculation gives 10.4 g/cm3. The raw total energy comes out at -6.543 eV/atom.

***

No. 2
A plane-wave DFT calculation with GGA-PBE was carried out for a relaxed structure of Hf2ZnSe.

```
data_Hf2ZnSe
_space_group_name_H-M_alt 'I -4 2 d'
_space_group_IT_number 122
_space_group_name_Hall 'I -4 2bw'
_cell_length_a 5.694
_cell_length_b 5.694
_cell_length_c 12.983
_cell_angle_alpha 90.00
_cell_angle_beta 90.00
_cell_angle_gamma 90.00
loop_
_atom_site_label
_atom_site_type_symbol
_atom_site_fract_x
_atom_site_fract_y
_atom_site_fract_z
Hf1 Hf 0.236 0.250 0.125
Zn1 Zn 0.000 0.000 0.000
Se1 Se 0.000 0.000 0.500
```

As for the formation energy from raw total energies: 0.29 eV/atom. For the density, the calculation gives 7.9 g/cm3. The raw total energy comes out at -5.878 eV/atom.

***

No. 3
A plane-wave DFT calculation with GGA-PBE was carried out for a relaxed structure of HfZn2Se.

```
data_HfZn2Se
_space_group_name_H-M_alt 'I -4 2 d'
_space_group_IT_number 122
_space_group_name_Hall 'I -4 2bw'
_cell_length_a 7.601
_cell_length_b 7.601
_cell_length_c 5.284
_cell_angle_alpha 90.00
_cell_angle_beta 90.00
_cell_angle_gamma 90.00
loop_
_atom_site_label
_atom_site_type_symbol
_atom_site_fract_x
_atom_site_fract_y
_atom_site_fract_z
Hf1 Hf 0.000 0.000 0.000
Zn1 Zn 0.233 0.250 0.625
Se1 Se 0.000 0.000 0.500
```

As for the formation energy from raw total energies: -0.12 eV/atom. For the density, the calculation gives 8.4 g/cm3. The raw total energy comes out at -4.114 eV/atom.

***

No. 4
A plane-wave DFT calculation with GGA-PBE was carried out for a relaxed structure of Hf2ZnSe.

```
data_Hf2ZnSe
_space_group_name_H-M_alt 'F m -3 m'
_space_group_IT_number 225
_space_group_name_Hall '-F 4 2 3'
_cell_length_a 6.678
_cell_length_b 6.678
_cell_length_c 6.678
_cell_angle_alpha 90.00
_cell_angle_beta 90.00
_cell_angle_gamma 90.00
loop_
_atom_site_label
_atom_site_type_symbol
_atom_site_fract_x
_atom_site_fract_y
_atom_site_fract_z
Hf1 Hf 0.250 0.250 0.250
Zn1 Zn 0.000 0.000 0.000
Se1 Se 0.000 0.000 0.500
```

As for the formation energy from raw total energies: -0.27 eV/atom. For the density, the calculation gives 11.2 g/cm3. The raw total energy comes out at -6.439 eV/atom.

***

No. 5
A plane-wave DFT calculation with GGA-PBE was carried out for a relaxed structure of HfZn3Se.

```
data_HfZn3Se
_space_group_name_H-M_alt 'P m -3 m'
_space_group_IT_number 221
_space_group_name_Hall '-P 4 2 3'
_cell_length_a 4.782
_cell_length_b 4.782
_cell_length_c 4.782
_cell_angle_alpha 90.00
_cell_angle_beta 90.00
_cell_angle_gamma 90.00
loop_
_atom_site_label
_atom_site_type_symbol
_atom_site_fract_x
_atom_site_fract_y
_atom_site_fract_z
Hf1 Hf 0.000 0.000 0.000
Zn1 Zn 0.000 0.500 0.500
Se1 Se 0.500 0.500 0.500
```

As for the formation energy from raw total energies: 0.77 eV/atom. For the density, the calculation gives 6.9 g/cm3. The raw total energy comes out at -2.687 eV/atom.

***

No. 6
A plane-wave DFT calculation with GGA-PBE was carried out for a relaxed structure of HfZn3Se.

```
data_HfZn3Se
_space_group_name_H-M_alt 'P m -3 m'
_space_group_IT_number 221
_space_group_name_Hall '-P 4 2 3'
_cell_length_a 5.248
_cell_length_b 5.248
_cell_length_c 5.248
_cell_angle_alpha 90.00
_cell_angle_beta 90.00
_cell_angle_gamma 90.00
loop_
_atom_site_label
_atom_site_type_symbol
_atom_site_fract_x
_atom_site_fract_y
_atom_site_fract_z
Hf1 Hf 0.000 0.000 0.000
Zn1 Zn 0.000 0.000 0.500
Se1 Se 0.500 0.500 0.500
```

As for the formation energy from raw total energies: 0.96 eV/atom. For the density, the calculation gives 5.2 g/cm3. The raw total energy comes out at -2.497 eV/atom.

***

No. 7
A plane-wave DFT calculation with GGA-PBE was carried out for a relaxed structure of HfZrSe.

```
data_HfZrSe
_space_group_name_H-M_alt 'P 1 21/c 1'
_space_group_IT_number 14
_cell_length_a 5.931
_cell_length_b 6.050
_cell_length_c 7.428
_cell_angle_alpha 90.00
_cell_angle_beta 90.04
_cell_angle_gamma 90.00
loop_
_space_group_symop_operation_xyz
'x,y,z'
'-x,-y,-z'
'-x,y+1/2,-z+1/2'
'x,-y+1/2,z+1/2'
loop_
_atom_site_label
_atom_site_type_symbol
_atom_site_fract_x
_atom_site_fract_y
_atom_site_fract_z
Hf1 Hf 0.062 0.187 0.123
Zr1 Zr 0.437 0.689 0.625
Se1 Se 0.247 0.001 0.413
```

As for the formation energy from raw total energies: -0.61 eV/atom. For the density, the calculation gives 8.7 g/cm3. The raw total energy comes out at -7.941 eV/atom.

***

No. 8
A plane-wave DFT calculation with GGA-PBE was carried out for a relaxed structure of Hf3ZrSe8.

```
data_Hf3ZrSe8
_space_group_name_H-M_alt 'C 1 2/m 1'
_space_group_IT_number 12
_cell_length_a 13.083
_cell_length_b 7.560
_cell_length_c 8.279
_cell_angle_alpha 90.00
_cell_angle_beta 122.37
_cell_angle_gamma 90.00
loop_
_space_group_symop_operation_xyz
'x,y,z'
'-x,-y,-z'
'-x,y,-z'
'x,-y,z'
'x+1/2,y+1/2,z'
'-x+1/2,-y+1/2,-z'
'-x+1/2,y+1/2,-z'
'x+1/2,-y+1/2,z'
loop_
_atom_site_label
_atom_site_type_symbol
_atom_site_fract_x
_atom_site_fract_y
_atom_site_fract_z
Hf1 Hf 0.000 0.000 0.000
Hf2 Hf 0.250 0.250 0.000
Zr1 Zr 0.000 0.500 0.000
Se1 Se 0.007 0.248 0.774
Se2 Se 0.243 0.000 0.225
Se3 Se 0.245 0.500 0.226
```

As for the formation energy from raw total energies: -1.35 eV/atom. For the density, the calculation gives 6.0 g/cm3. The raw total energy comes out at -6.871 eV/atom.

***

Which value of formation energy from raw total energies does entry 3 give?
-0.12 eV/atom